No. 1
La3CdIr, optimized geometry, DFT PBE; offset from the most stable computed form = 294 meV per atom; crystal system = hexagonal; ρ = 6.50 g/cm3; formation energy = -0.20 eV/atom; total energy = -0.1877 hartree per atom
1.0
5.1573 0.0000 0.0000
-2.5787 4.4664 0.0000
0.0000 0.0000 15.9951
La Cd Ir
6 2 2
Cartesian
0.0000 0.0000 3.9988
0.0000 0.0000 11.9963
0.0000 2.9776 1.3075
0.0000 2.9776 6.6901
2.5787 1.4888 9.3050
2.5787 1.4888 14.6876
0.0000 0.0000 0.0000
0.0000 0.0000 7.9975
0.0000 2.9776 3.9988
2.5787 1.4888 11.9963

No. 2
TaCdHg2, optimized geometry, DFT PBE; crystal system = tetragonal; ρ = 13.84 g/cm3; formation energy = 0.56 eV/atom; total energy = -0.1023 hartree per atom
1.0
-2.1068 2.1068 4.6946
2.1068 -2.1068 4.6946
2.1068 2.1068 -4.6946
Ta Cd Hg
1 1 2
Cartesian
0.0000 0.0000 0.0000
2.1068 0.0000 2.3473
0.0000 0.0000 4.6946
0.0000 2.1068 2.3473

No. 3
SiTc3, optimized geometry, DFT PBE; offset from the most stable computed form = 69 meV per atom; crystal system = hexagonal; ρ = 9.46 g/cm3; formation energy without anion corrections = -0.20 eV/atom; total energy = -0.3427 hartree per atom
1.0
2.8541 0.0000 0.0000
-1.4271 2.4718 0.0000
0.0000 0.0000 8.0147
Si Tc
1 3
Cartesian
0.0000 0.0000 0.0000
0.0000 0.0000 4.0073
1.4271 0.8239 1.8861
1.4271 0.8239 6.1286